i) DFT (PBE) results for a geometry-optimized Na2AgHPb structure.

a b c (Å): 5.1526 5.1526 3.8384
angles (deg): 90.00 90.00 90.00
With the nearest neighbours (Å) after each atom.
Space group P4/mmm (No. 123)
Inequivalent atoms, fractional coordinates:
Na1 0.0000 0.5000 0.0000 (multiplicity 2)  2 H 2.58
Ag1 0.0000 0.0000 0.5000 (multiplicity 1)  2 H 1.92
H1 0.0000 0.0000 0.0000 (multiplicity 1)  2 Ag 1.92
Pb1 0.5000 0.5000 0.5000 (multiplicity 1)  8 Na 3.21

Values from the calculation:
V: 20.38 Å³ per atom
Size of the total moment: 0.00 μB per formula unit
D(E_F): 0.4087 states/eV/atom

ii) DFT (PBE) results for a geometry-optimized Na2AgHPb structure.

a b c (Å): 4.6845 4.6845 4.7451
angles (deg): 90.00 90.00 90.00
With the nearest neighbours (Å) after each atom.
Space group P4/mmm (No. 123)
Inequivalent atoms, fractional coordinates:
Na1 0.0000 0.5000 0.0000 (multiplicity 2)  2 H 2.34
Ag1 0.0000 0.0000 0.5000 (multiplicity 1)  4 Pb 3.31, 8 Na 3.33
H1 0.5000 0.5000 0.0000 (multiplicity 1)  4 Na 2.34, 2 Pb 2.37
Pb1 0.5000 0.5000 0.5000 (multiplicity 1)  2 H 2.37

Values from the calculation:
V: 20.83 Å³ per atom
Size of the total moment: 0.00 μB per formula unit
D(E_F): 0.3540 states/eV/atom

Computed stability ranking, most favorable first: i), ii)

i) DFT (PBE) results for a geometry-optimized NaAgHPd2 structure.

a b c (Å): 4.0001 4.0001 4.3843
angles (deg): 90.00 90.00 90.00
With the nearest neighbours (Å) after each atom.
Space group P4/mmm (No. 123)
Inequivalent atoms, fractional coordinates:
Na1 0.0000 0.0000 0.0000 (multiplicity 1)  2 H 2.19
Ag1 0.5000 0.5000 0.0000 (multiplicity 1)  4 Na 2.83, 8 Pd 2.97
H1 0.0000 0.0000 0.5000 (multiplicity 1)  4 Pd 2.00, 2 Na 2.19
Pd1 0.0000 0.5000 0.5000 (multiplicity 2)  2 H 2.00

Values from the calculation:
V: 14.03 Å³ per atom
Size of the total moment: 0.00 μB per formula unit
D(E_F): 0.3895 states/eV/atom

ii) DFT (PBE) results for a geometry-optimized NaAgHPd2 structure.

a b c (Å): 4.0544 4.0544 4.2916
angles (deg): 90.00 90.00 90.00
With the nearest neighbours (Å) after each atom.
Space group P4/mmm (No. 123)
Inequivalent atoms, fractional coordinates:
Na1 0.0000 0.0000 0.0000 (multiplicity 1)  4 Ag 2.87, 8 Pd 2.95
Ag1 0.5000 0.5000 0.0000 (multiplicity 1)  2 H 2.15
H1 0.5000 0.5000 0.5000 (multiplicity 1)  4 Pd 2.03, 2 Ag 2.15
Pd1 0.0000 0.5000 0.5000 (multiplicity 2)  2 H 2.03

Values from the calculation:
V: 14.11 Å³ per atom
Size of the total moment: 0.00 μB per formula unit
D(E_F): 0.2857 states/eV/atom

Computed stability ranking, most favorable first: i), ii)

i) DFT (PBE) results for a geometry-optimized NaAg2HPd structure.

a b c (Å): 5.0624 5.0624 3.4167
angles (deg): 90.00 90.00 90.00
With the nearest neighbours (Å) after each atom.
Space group P4/mmm (No. 123)
Inequivalent atoms, fractional coordinates:
Na1 0.0000 0.0000 0.0000 (multiplicity 1)  2 H 1.71
Ag1 0.0000 0.5000 0.0000 (multiplicity 2)  2 Na 2.53
H1 0.0000 0.0000 0.5000 (multiplicity 1)  2 Na 1.71
Pd1 0.5000 0.5000 0.5000 (multiplicity 1)  8 Ag 3.05, 2 Pd 3.42

Values from the calculation:
V: 17.51 Å³ per atom
Size of the total moment: 0.00 μB per formula unit
D(E_F): 0.2116 states/eV/atom

ii) DFT (PBE) results for a geometry-optimized NaAg2HPd structure.

a b c (Å): 4.5806 4.5806 3.5967
angles (deg): 90.00 90.00 90.00
With the nearest neighbours (Å) after each atom.
Space group P4/mmm (No. 123)
Inequivalent atoms, fractional coordinates:
Na1 0.0000 0.0000 0.0000 (multiplicity 1)  8 Ag 2.91, 4 Pd 3.24
Ag1 0.0000 0.5000 0.5000 (multiplicity 2)  2 H 2.29
H1 0.5000 0.5000 0.5000 (multiplicity 1)  2 Pd 1.80
Pd1 0.5000 0.5000 0.0000 (multiplicity 1)  2 H 1.80

Values from the calculation:
V: 15.09 Å³ per atom
Size of the total moment: 0.00 μB per formula unit
D(E_F): 0.1551 states/eV/atom

Computed stability ranking, most favorable first: ii), i)

i) DFT (PBE) results for a geometry-optimized NaTcAg2H structure.

a b c (Å): 5.1290 5.1290 3.4194
angles (deg): 90.00 90.00 90.00
With the nearest neighbours (Å) after each atom.
Space group P4/mmm (No. 123)
Inequivalent atoms, fractional coordinates:
Na1 0.0000 0.0000 0.0000 (multiplicity 1)  2 H 1.71
Tc1 0.5000 0.5000 0.5000 (multiplicity 1)  8 Ag 3.08, 2 Tc 3.42
Ag1 0.0000 0.5000 0.0000 (multiplicity 2)  2 Na 2.56
H1 0.0000 0.0000 0.5000 (multiplicity 1)  2 Na 1.71

Values from the calculation:
V: 17.99 Å³ per atom
Size of the total moment: 3.31 μB per formula unit
D(E_F): 0.3942 states/eV/atom

ii) DFT (PBE) results for a geometry-optimized NaTcAg2H structure.

a b c (Å): 4.2085 4.2085 4.3360
angles (deg): 90.00 90.00 90.00
With the nearest neighbours (Å) after each atom.
Space group P4/mmm (No. 123)
Inequivalent atoms, fractional coordinates:
Na1 0.0000 0.0000 0.0000 (multiplicity 1)  2 H 2.17
Tc1 0.5000 0.5000 0.0000 (multiplicity 1)  4 Na 2.98, 8 Ag 3.02
Ag1 0.0000 0.5000 0.5000 (multiplicity 2)  2 H 2.10
H1 0.0000 0.0000 0.5000 (multiplicity 1)  4 Ag 2.10, 2 Na 2.17

Values from the calculation:
V: 15.36 Å³ per atom
Size of the total moment: 2.99 μB per formula unit
D(E_F): 0.7383 states/eV/atom

Computed stability ranking, most favorable first: ii), i)